Computed, not measured: crystalline Pa2AlCo2Ni5 at its relaxed geometry at the GGA-PBE level of DFT.

Cell: 3.8238 8.5957 8.5957 Å, 90.00 90.00 90.00°
With the nearest neighbours (Å) after each atom.
Atoms (fractional coordinates):
Al 0.0000 0.0000 0.0000  8 Ni 2.65
Al 0.0000 0.5000 0.5000  8 Ni 2.65
Ni 0.5000 0.5671 0.7027  2 Co 2.47, 3 Ni 2.60-2.62, 2 Al 2.65
Ni 0.5000 0.4329 0.2973  2 Co 2.47, 3 Ni 2.60-2.62, 2 Al 2.65
Ni 0.5000 0.7027 0.4329  2 Co 2.47, 3 Ni 2.60-2.62, 2 Al 2.65
Ni 0.5000 0.0671 0.7973  2 Co 2.47, 3 Ni 2.60-2.62, 2 Al 2.65
Ni 0.5000 0.7973 0.9329  2 Co 2.47, 3 Ni 2.60-2.62, 2 Al 2.65
Ni 0.5000 0.2973 0.5671  2 Co 2.47, 3 Ni 2.60-2.62, 2 Al 2.65
Ni 0.5000 0.2027 0.0671  2 Co 2.47, 3 Ni 2.60-2.62, 2 Al 2.65
Ni 0.5000 0.9329 0.2027  2 Co 2.47, 3 Ni 2.60-2.62, 2 Al 2.65
Ni 0.5000 0.5000 0.0000  4 Co 2.45, 4 Ni 2.62
Ni 0.5000 0.0000 0.5000  4 Co 2.45, 4 Ni 2.62
Co 0.0000 0.1260 0.6260  3 Pa 2.43-2.62, 6 Ni 2.45-2.47
Co 0.0000 0.8740 0.3740  3 Pa 2.43-2.62, 6 Ni 2.45-2.47
Co 0.0000 0.3740 0.1260  3 Pa 2.43-2.62, 6 Ni 2.45-2.47
Co 0.0000 0.6260 0.8740  3 Pa 2.43-2.62, 6 Ni 2.45-2.47
Pa 0.0000 0.3255 0.8255  3 Co 2.43-2.62
Pa 0.0000 0.8255 0.6745  3 Co 2.43-2.62
Pa 0.0000 0.6745 0.1745  3 Co 2.43-2.62
Pa 0.0000 0.1745 0.3255  3 Co 2.43-2.62

Computed properties:
Total energy, eV per atom: -7.027
Space-group type: P4/mbm